A relaxed NdNi5Sn crystal, computed with PBE.

ρ, g cm⁻³: 8.89
Formation energy, eV/atom: -0.3329

Lattice parameters (Å, degrees): 4.9422 8.1428 10.3264 90.00 90.00 90.00
Atoms (fractional coordinates):
Sn: 0.2500 0.8579 0.8600
Sn: 0.2500 0.3579 0.6400
Sn: 0.7500 0.1421 0.1400
Sn: 0.7500 0.6421 0.3600
Nd: 0.2500 0.2496 0.9416
Nd: 0.2500 0.7496 0.5584
Nd: 0.7500 0.7504 0.0584
Nd: 0.7500 0.2504 0.4416
Ni: 0.7500 0.8146 0.7460
Ni: 0.5003 0.4336 0.1906
Ni: 0.7500 0.4149 0.9825
Ni: 0.2500 0.9463 0.1031
Ni: 0.7500 0.5537 0.6031
Ni: 0.0003 0.5664 0.8094
Ni: 0.0003 0.0664 0.6906
Ni: 0.7500 0.3146 0.7540
Ni: 0.9997 0.9336 0.3094
Ni: 0.7500 0.9149 0.5175
Ni: 0.2500 0.6854 0.2460
Ni: 0.9997 0.4336 0.1906
Ni: 0.2500 0.0851 0.4825
Ni: 0.2500 0.4463 0.3969
Ni: 0.5003 0.9336 0.3094
Ni: 0.4997 0.0664 0.6906
Ni: 0.7500 0.0537 0.8969
Ni: 0.2500 0.5851 0.0175
Ni: 0.2500 0.1854 0.2540
Ni: 0.4997 0.5664 0.8094

A relaxed NdNiSn4 crystal, computed with PBE.

ρ, g cm⁻³: 7.62
Formation energy, eV/atom: -0.3860

Lattice parameters (Å, degrees): 4.4502 4.5127 14.8809 90.00 98.60 90.00
Atoms (fractional coordinates):
Ni: 0.4496 0.0000 0.8992
Ni: 0.5504 0.0000 0.1008
Sn: 0.8943 0.0000 0.7885
Sn: 0.2839 0.0000 0.5677
Sn: 0.5000 0.5000 0.0000
Sn: 0.1057 0.0000 0.2115
Sn: 0.7161 0.0000 0.4323
Sn: 0.3948 0.5000 0.7896
Sn: 0.6052 0.5000 0.2104
Sn: 0.0000 0.0000 0.0000
Nd: 0.8093 0.5000 0.6185
Nd: 0.1907 0.5000 0.3815

A relaxed Nd4Ni3Sn crystal, computed with PBE.

ρ, g cm⁻³: 7.48
Formation energy, eV/atom: -0.3814

Lattice parameters (Å, degrees): 4.1379 4.4056 10.6194 90.00 90.00 90.00
Atoms (fractional coordinates):
Ni: 0.0000 0.0000 0.4444
Ni: 0.5000 0.0000 0.9144
Ni: 0.0000 0.5000 0.5655
Sn: 0.5000 0.5000 0.0674
Nd: 0.5000 0.0000 0.6386
Nd: 0.0000 0.0000 0.1531
Nd: 0.5000 0.5000 0.3775
Nd: 0.0000 0.5000 0.8391